No. 1
An optimized crystal structure of CoNiSb, computed with GGA-PBE.

Calculated values
Size of the total moment ... 0.26 μB/atom
SG ... No. 189
Electronic total energy ... -5.4388 eV/atom

Lattice parameters (Å, degrees): 6.887 6.887 3.036 90.00 90.00 120.00
Positions (direct):
Ni1 0.333 0.667 0.500
Ni2 0.667 0.333 0.500
Ni3 0.000 0.000 0.000
Sb1 0.000 0.302 0.500
Sb2 0.698 0.698 0.500
Sb3 0.302 0.000 0.500
Co1 0.368 0.368 0.000
Co2 0.632 0.000 0.000
Co3 0.000 0.632 0.000



No. 2
An optimized crystal structure of BaTb2S3, computed with GGA-PBE.

Calculated values
Size of the total moment ... 0.00 μB/atom
SG ... No. 164
Electronic total energy ... -5.9342 eV/atom

Lattice parameters (Å, degrees): 4.057 4.057 10.321 90.00 90.00 120.00
Positions (direct):
Ba1 0.000 0.000 0.500
S1 0.000 0.000 0.000
S2 0.667 0.333 0.298
S3 0.333 0.667 0.702
Tb1 0.667 0.333 0.851
Tb2 0.333 0.667 0.149



No. 3
An optimized crystal structure of BaPuIn, computed with GGA-PBE.

Calculated values
Size of the total moment ... 1.99 μB/atom
SG ... No. 216
Polymorph energy (0 for the lowest one) ... 0 meV/atom
Electronic total energy ... -6.0675 eV/atom

Lattice parameters (Å, degrees): 5.607 5.607 5.607 60.00 60.00 60.00
Positions (direct):
Pu1 0.750 0.750 0.750
In1 0.000 0.000 0.000
Ba1 0.250 0.250 0.250



No. 4
An optimized crystal structure of YPuPt, computed with GGA-PBE.

Calculated values
Size of the total moment ... 2.09 μB/atom
SG ... No. 216
Polymorph energy (0 for the lowest one) ... 0 meV/atom
Electronic total energy ... -9.5261 eV/atom
Formation energy from the elements ... -644 meV per atom

Lattice parameters (Å, degrees): 4.872 4.872 4.872 60.00 60.00 60.00
Positions (direct):
Pu1 0.250 0.250 0.250
Y1 0.750 0.750 0.750
Pt1 0.000 0.000 0.000



No. 5
An optimized crystal structure of Cu2PtS3, computed with GGA-PBE.

Calculated values
Size of the total moment ... 0.00 μB/atom
SG ... No. 9
Electronic total energy ... -4.4644 eV/atom

Lattice parameters (Å, degrees): 6.406 6.406 6.630 101.00 101.00 119.57
Positions (direct):
Cu1 0.239 0.735 0.009
Cu2 0.409 0.579 0.499
Cu3 0.735 0.239 0.509
Cu4 0.579 0.409 0.999
S1 0.941 0.798 0.097
S2 0.608 0.122 0.137
S3 0.798 0.941 0.597
S4 0.445 0.281 0.624
S5 0.122 0.608 0.637
S6 0.281 0.445 0.124
Pt1 0.869 0.079 0.964
Pt2 0.079 0.869 0.464



No. 6
An optimized crystal structure of KTaW, computed with GGA-PBE.

Calculated values
Size of the total moment ... 0.00 μB/atom
SG ... No. 216
Polymorph energy (0 for the lowest one) ... 0 meV/atom
Electronic total energy ... -6.3852 eV/atom

Lattice parameters (Å, degrees): 4.671 4.671 4.671 60.00 60.00 60.00
Positions (direct):
W1 0.000 0.000 0.000
Ta1 0.750 0.750 0.750
K1 0.250 0.250 0.250